[1]
## La2CuNiB (GGA-PBE)

Data for crystalline La2CuNiB at its relaxed geometry.

abc: 5.3762 5.3762 3.7918
angles: 90.00 90.00 90.00
Last column: nearest neighbours and their distance in Å.
Element x y z (fractional)
La  0.0000  0.5000  0.0000  2 B 2.69
La  0.5000  0.0000  0.0000  2 B 2.69
Cu  0.0000  0.0000  0.5000  8 La 3.29
Ni  0.5000  0.5000  0.5000  2 B 1.90
B  0.5000  0.5000  0.0000  2 Ni 1.90

Summary:
Electronic total energy, eV per atom: -5.39
ΔE_f, eV per atom: -0.110
Density of states at the Fermi level, states/eV per atom: 0.88

[2]
## Cr2NiOs (GGA-PBE)

Data for crystalline Cr2NiOs at its relaxed geometry.

abc: 2.9970 2.9970 5.4412
angles: 90.00 90.00 90.00
Last column: nearest neighbours and their distance in Å.
Element x y z (fractional)
Cr  0.0000  0.0000  0.0000  4 Cr 2.52, 1 Ni 2.53, 4 Os 2.54
Cr  0.5000  0.5000  0.2517  4 Ni 2.42, 4 Cr 2.52, 1 Os 2.66
Ni  0.0000  0.0000  0.4651  5 Cr 2.42-2.53, 4 Os 2.60
Os  0.5000  0.5000  0.7412  6 Cr 2.54-2.78, 4 Ni 2.60

Summary:
Electronic total energy, eV per atom: -8.91
ΔE_f, eV per atom: 0.156
Density of states at the Fermi level, states/eV per atom: 1.20

[3]
## Na2HfSn (GGA-PBE)

Data for crystalline Na2HfSn at its relaxed geometry.

abc: 8.7330 8.7330 5.8163
angles: 90.00 90.00 90.00
Last column: nearest neighbours and their distance in Å.
Element x y z (fractional)
Na  0.2275  0.7500  0.1250  2 Na 2.93, 2 Sn 3.04
Na  0.2500  0.2275  0.8750  2 Na 2.93, 2 Sn 3.04
Na  0.2500  0.2725  0.3750  2 Na 2.93, 2 Sn 3.04
Na  0.2725  0.7500  0.6250  2 Na 2.93, 2 Sn 3.04
Na  0.7275  0.2500  0.6250  2 Na 2.93, 2 Sn 3.04
Na  0.7500  0.7275  0.3750  2 Na 2.93, 2 Sn 3.04
Na  0.7500  0.7725  0.8750  2 Na 2.93, 2 Sn 3.04
Na  0.7725  0.2500  0.1250  2 Na 2.93, 2 Sn 3.04
Hf  0.0000  0.0000  0.5000  2 Sn 2.91
Hf  0.0000  0.5000  0.7500  2 Sn 2.91
Hf  0.5000  0.0000  0.2500  2 Sn 2.91
Hf  0.5000  0.5000  0.0000  2 Sn 2.91
Sn  0.0000  0.0000  0.0000  2 Hf 2.91, 4 Na 3.04
Sn  0.0000  0.5000  0.2500  2 Hf 2.91, 4 Na 3.04
Sn  0.5000  0.0000  0.7500  2 Hf 2.91, 4 Na 3.04
Sn  0.5000  0.5000  0.5000  2 Hf 2.91, 4 Na 3.04

Summary:
Electronic total energy, eV per atom: -3.57
ΔE_f, eV per atom: 0.579
Density of states at the Fermi level, states/eV per atom: 0.87

[4]
## Pm2AgH (GGA-PBE)

Data for crystalline Pm2AgH at its relaxed geometry.

abc: 3.7873 3.7873 21.8041
angles: 90.00 90.00 120.00
Last column: nearest neighbours and their distance in Å.
Element x y z (fractional)
Pm  0.0000  0.0000  0.0000  3 H 2.60
Pm  0.0000  0.0000  0.2037  3 H 2.60
Pm  0.3333  0.6667  0.6667  3 H 2.60
Pm  0.3333  0.6667  0.8703  3 H 2.60
Pm  0.6667  0.3333  0.3333  3 H 2.60
Pm  0.6667  0.3333  0.5370  3 H 2.60
Ag  0.0000  0.0000  0.4345  6 Pm 3.11-3.13
Ag  0.3333  0.6667  0.1012  6 Pm 3.11-3.13
Ag  0.6667  0.3333  0.7679  6 Pm 3.11-3.13
H  0.0000  0.0000  0.6018  6 Pm 2.60
H  0.3333  0.6667  0.2684  6 Pm 2.60
H  0.6667  0.3333  0.9351  6 Pm 2.60

Summary:
Excess energy over the best structure of this formula in the dataset, eV/atom: 0.000
Electronic total energy, eV per atom: -4.13
Density of states at the Fermi level, states/eV per atom: 0.69

[5]
## ZnCd3In (GGA-PBE)

Data for crystalline ZnCd3In at its relaxed geometry.

abc: 6.9607 6.9607 5.7895
angles: 90.00 90.00 120.00
Last column: nearest neighbours and their distance in Å.
Element x y z (fractional)
Zn  0.0000  0.0000  0.0000  6 Cd 2.73, 2 Zn 2.89
Zn  0.0000  0.0000  0.5000  6 Cd 2.73, 2 Zn 2.89
Cd  0.1920  0.3841  0.2500  2 Zn 2.73, 2 Cd 2.95
Cd  0.1920  0.8080  0.2500  2 Zn 2.73, 2 Cd 2.95
Cd  0.3841  0.1920  0.7500  2 Zn 2.73, 2 Cd 2.95
Cd  0.6159  0.8080  0.2500  2 Zn 2.73, 2 Cd 2.95
Cd  0.8080  0.1920  0.7500  2 Zn 2.73, 2 Cd 2.95
Cd  0.8080  0.6159  0.7500  2 Zn 2.73, 2 Cd 2.95
In  0.3333  0.6667  0.7500  12 Cd 3.36-3.49
In  0.6667  0.3333  0.2500  12 Cd 3.36-3.49

Summary:
Excess energy over the best structure of this formula in the dataset, eV/atom: 0.055
Electronic total energy, eV per atom: -1.23
ΔE_f, eV per atom: 0.117
Density of states at the Fermi level, states/eV per atom: 0.32

[6]
## TaCu2Re (GGA-PBE)

Data for crystalline TaCu2Re at its relaxed geometry.

abc: 3.8206 3.8206 7.8912
angles: 90.00 90.00 90.00
Last column: nearest neighbours and their distance in Å.
Element x y z (fractional)
Ta  0.0000  0.0000  0.0000  8 Cu 2.70-2.75, 4 Re 2.75
Ta  0.5000  0.5000  0.5000  8 Cu 2.70-2.75, 4 Re 2.75
Cu  0.0000  0.0000  0.5000  4 Ta 2.70, 4 Re 2.75, 4 Cu 2.75
Cu  0.0000  0.5000  0.7500  4 Re 2.70, 4 Ta 2.75, 4 Cu 2.75
Cu  0.5000  0.0000  0.2500  4 Re 2.70, 4 Ta 2.75, 4 Cu 2.75
Cu  0.5000  0.5000  0.0000  4 Ta 2.70, 4 Re 2.75, 4 Cu 2.75
Re  0.0000  0.5000  0.2500  8 Cu 2.70-2.75, 4 Ta 2.75
Re  0.5000  0.0000  0.7500  8 Cu 2.70-2.75, 4 Ta 2.75

Summary:
Excess energy over the best structure of this formula in the dataset, eV/atom: 0.063
Electronic total energy, eV per atom: -7.96
ΔE_f, eV per atom: 0.165
Density of states at the Fermi level, states/eV per atom: 0.50

[7]
## Mg4Cl5 (GGA-PBE)

Data for crystalline Mg4Cl5 at its relaxed geometry.

abc: 6.7744 6.7744 6.7744
angles: 103.10 103.10 123.13
Last column: nearest neighbours and their distance in Å.
Element x y z (fractional)
Mg  0.0000  0.3198  0.3198  3 Cl 2.44-2.69
Mg  0.0000  0.6802  0.6802  3 Cl 2.44-2.69
Mg  0.3198  0.0000  0.3198  3 Cl 2.44-2.69
Mg  0.6802  0.0000  0.6802  3 Cl 2.44-2.69
Cl  0.0000  0.0000  0.0000  4 Mg 2.69
Cl  0.2881  0.2881  0.5762  2 Mg 2.44
Cl  0.2881  0.7119  0.0000  2 Mg 2.44
Cl  0.7119  0.2881  0.0000  2 Mg 2.44
Cl  0.7119  0.7119  0.4238  2 Mg 2.44

Summary:
Excess energy over the best structure of this formula in the dataset, eV/atom: 0.000
Raw formation energy, meV per atom: -1169
Electronic total energy, eV per atom: -2.90
Density of states at the Fermi level, states/eV per atom: 0.16

[8]
## TaVHOs2 (GGA-PBE)

Data for crystalline TaVHOs2 at its relaxed geometry.

abc: 4.0076 4.0076 3.8754
angles: 90.00 90.00 90.00
Last column: nearest neighbours and their distance in Å.
Element x y z (fractional)
Ta  0.0000  0.0000  0.0000  8 Os 2.79, 4 V 2.83
V  0.5000  0.5000  0.0000  2 H 1.94
H  0.5000  0.5000  0.5000  2 V 1.94, 4 Os 2.00
Os  0.0000  0.5000  0.5000  2 H 2.00
Os  0.5000  0.0000  0.5000  2 H 2.00

Summary:
Electronic total energy, eV per atom: -9.43
Density of states at the Fermi level, states/eV per atom: 1.05

[9]
## Sr6Te5I (GGA-PBE)

Data for crystalline Sr6Te5I at its relaxed geometry.

abc: 8.2102 8.2102 8.2081
angles: 99.58 99.58 119.95
Last column: nearest neighbours and their distance in Å.
Element x y z (fractional)
Sr  0.0674  0.4135  0.7413  5 Te 3.28-3.36, 1 I 3.48
Sr  0.2388  0.2388  0.2542  5 Te 3.25-3.34, 1 I 3.45
Sr  0.4135  0.0674  0.7413  5 Te 3.28-3.36, 1 I 3.48
Sr  0.5865  0.9326  0.2587  5 Te 3.28-3.36, 1 I 3.48
Sr  0.7612  0.7612  0.7458  5 Te 3.25-3.34, 1 I 3.45
Sr  0.9326  0.5865  0.2587  5 Te 3.28-3.36, 1 I 3.48
Te  0.0000  0.0000  0.5000  6 Sr 3.25-3.36
Te  0.1678  0.8322  0.0000  6 Sr 3.34-3.35
Te  0.3386  0.6614  0.5000  6 Sr 3.28-3.36
Te  0.6614  0.3386  0.5000  6 Sr 3.28-3.36
Te  0.8322  0.1678  0.0000  6 Sr 3.34-3.35
I  0.5000  0.5000  0.0000  6 Sr 3.45-3.48

Summary:
Raw formation energy, meV per atom: -1660
Electronic total energy, eV per atom: -3.94
Density of states at the Fermi level, states/eV per atom: 0.24

[10]
## Nd7Pb4N (GGA-PBE)

Data for crystalline Nd7Pb4N at its relaxed geometry.

abc: 8.8282 8.8282 11.4552
angles: 125.42 125.42 34.46
Last column: nearest neighbours and their distance in Å.
Element x y z (fractional)
Nd  0.0000  0.0000  0.0000  2 N 2.62
Nd  0.1373  0.1373  0.5403  5 Pb 3.23-3.44
Nd  0.2840  0.2840  0.1374  4 Pb 3.12-3.39
Nd  0.4361  0.4361  0.7604  1 N 2.26
Nd  0.5639  0.5639  0.2396  1 N 2.26
Nd  0.7160  0.7160  0.8626  4 Pb 3.12-3.39
Nd  0.8627  0.8627  0.4597  5 Pb 3.23-3.44
Pb  0.0797  0.0797  0.7812  8 Nd 3.22-3.49
Pb  0.2215  0.2215  0.3437  7 Nd 3.12-3.41
Pb  0.7785  0.7785  0.6563  7 Nd 3.12-3.41
Pb  0.9203  0.9203  0.2188  8 Nd 3.22-3.49
N  0.5000  0.5000  0.0000  2 Nd 2.26

Summary:
Raw formation energy, meV per atom: -466
Electronic total energy, eV per atom: -5.18
Density of states at the Fermi level, states/eV per atom: 0.61

[11]
## MgSb4Ru (GGA-PBE)

Data for crystalline MgSb4Ru at its relaxed geometry.

abc: 6.1061 6.1061 6.1061
angles: 60.00 60.00 60.00
Last column: nearest neighbours and their distance in Å.
Element x y z (fractional)
Mg  0.0000  0.0000  0.0000  12 Sb 3.58, 4 Ru 3.74
Sb  0.3753  0.3753  0.3753  6 Sb 3.05-3.06
Sb  0.3753  0.3753  0.8740  6 Sb 3.05-3.06
Sb  0.3753  0.8740  0.3753  6 Sb 3.05-3.06
Sb  0.8740  0.3753  0.3753  6 Sb 3.05-3.06
Ru  0.7500  0.7500  0.7500  12 Sb 3.58, 4 Mg 3.74

Summary:
Raw formation energy, meV per atom: 772
Electronic total energy, eV per atom: -3.79
Density of states at the Fermi level, states/eV per atom: 0.85

[12]
## SrGaAu11 (GGA-PBE)

Data for crystalline SrGaAu11 at its relaxed geometry.

abc: 7.2181 7.2181 7.2838
angles: 96.48 96.48 134.80
Last column: nearest neighbours and their distance in Å.
Element x y z (fractional)
Sr  0.0000  0.0000  0.0000  18 Au 3.40-3.64
Ga  0.5000  0.5000  0.5000  6 Au 2.60-2.77
Au  0.0000  0.0000  0.5000  2 Ga 2.77, 8 Au 2.82-2.96
Au  0.0000  0.5000  0.0000  10 Au 2.77-2.95
Au  0.0439  0.6857  0.6516  8 Au 2.82-3.11, 1 Ga 3.11
Au  0.3143  0.9561  0.3484  8 Au 2.82-3.11, 1 Ga 3.11
Au  0.3154  0.5292  0.7755  1 Ga 2.60, 3 Au 2.81-2.85
Au  0.4708  0.6846  0.2245  1 Ga 2.60, 3 Au 2.81-2.85
Au  0.5000  0.0000  0.0000  10 Au 2.77-2.95
Au  0.5292  0.3154  0.7755  1 Ga 2.60, 3 Au 2.81-2.85
Au  0.6846  0.4708  0.2245  1 Ga 2.60, 3 Au 2.81-2.85
Au  0.6857  0.0439  0.6516  8 Au 2.82-3.11, 1 Ga 3.11
Au  0.9561  0.3143  0.3484  8 Au 2.82-3.11, 1 Ga 3.11

Summary:
Electronic total energy, eV per atom: -3.37
ΔE_f, eV per atom: -0.235
Density of states at the Fermi level, states/eV per atom: 0.31